First-principles (PBE) data for a relaxed RbSr3Ta crystal, as listed in the Alexandria database.

Output
- E_form: 1.903 eV per atom
- Energy above the lowest structure with this stoichiometry: 98.0 kJ per mole of atoms
- Calculated volume: 206.8 Å³/f.u.
- Energy: -1.670 eV/atom
- M_tot: 0.000 μB/cell

a = 5.913 Å, b = 5.913 Å, c = 5.913 Å
α = 90.00°, β = 90.00°, γ = 90.00°
Sites, in units of the cell vectors:
Sr: 0.000 0.500 0.000
Sr: 0.000 0.000 0.500
Sr: 0.500 0.000 0.000
Rb: 0.000 0.000 0.000
Ta: 0.500 0.500 0.500